Entry 1:
{
  "formula": "Ir4Br5",
  "functional": "PBE-GGA",
  "state": "relaxed",
  "cell": [[7.4709, 0.0000, 0.0000], [-3.7355, 6.4700, 0.0000], [0.0000, 0.0000, 7.3231]],
  "species": ["Ir", "Ir", "Ir", "Ir", "Ir", "Ir", "Ir", "Ir", "Br", "Br", "Br", "Br", "Br", "Br", "Br", "Br", "Br", "Br"],
  "frac_coords": [[0.0000, 0.0000, 0.0000], [0.0000, 0.0000, 0.5000], [0.0000, 0.4147, 0.2500], [0.5853, 0.5853, 0.2500], [0.4147, 0.0000, 0.2500], [0.0000, 0.5853, 0.7500], [0.4147, 0.4147, 0.7500], [0.5853, 0.0000, 0.7500], [0.0000, 0.7514, 0.2500], [0.2486, 0.2486, 0.2500], [0.7514, 0.0000, 0.2500], [0.0000, 0.2486, 0.7500], [0.7514, 0.7514, 0.7500], [0.2486, 0.0000, 0.7500], [0.6667, 0.3333, 0.0000], [0.3333, 0.6667, 0.5000], [0.3333, 0.6667, 0.0000], [0.6667, 0.3333, 0.5000]],
  "magnetic_moment_mub_per_fu": 0.00,
  "dft_energy_ev_per_atom": -3.6898,
  "volume_a3_per_atom": 19.7,
  "e_above_lowest_polymorph_ev_per_atom": 0.258,
  "formation_energy_uncorrected_ev_per_atom": 1.178,
  "n_ef_per_ev_atom": 0.868,
  "sg": "P6_3/mcm, No. 193"
}

Entry 2:
{
  "formula": "InPS2Cl",
  "functional": "PBE-GGA",
  "state": "relaxed",
  "cell": [[4.6075, 0.0000, 0.0000], [0.0000, 5.0619, 0.0000], [0.0000, 0.0000, 4.6075]],
  "species": ["P", "S", "S", "Cl", "In"],
  "frac_coords": [[0.0000, 0.0000, 0.0000], [0.0000, 0.0000, 0.5000], [0.5000, 0.0000, 0.0000], [0.0000, 0.5000, 0.0000], [0.5000, 0.5000, 0.5000]],
  "magnetic_moment_mub_per_fu": 0.00,
  "dft_energy_ev_per_atom": -3.6393,
  "volume_a3_per_atom": 21.5,
  "e_above_lowest_polymorph_ev_per_atom": 0.000,
  "formation_energy_uncorrected_ev_per_atom": 0.011,
  "n_ef_per_ev_atom": 0.789,
  "sg": "P4/mmm, No. 123"
}